No. 1
A relaxed NaV2As2 crystal. Source: the Alexandria database, functional PBE-GGA.

Properties
Theoretical density ... 5.52 g/cm3
DFT total energy ... -5.935 eV/atom
Density of states at the Fermi level ... 6.1 states/eV/cell
Calculated formation energy ... -15.84 kJ/mol of atoms

abc: 7.261 7.261 3.135
angles: 90.00 90.00 90.00
Positions (direct):
Na 0.000 0.000 0.000
Na 0.500 0.500 0.000
V 0.127 0.373 0.500
V 0.373 0.873 0.500
V 0.627 0.127 0.500
V 0.873 0.627 0.500
As 0.153 0.653 0.000
As 0.347 0.153 0.000
As 0.653 0.847 0.000
As 0.847 0.347 0.000

=====

No. 2
A relaxed CsDyGaS4 crystal. Source: the Alexandria database, functional PBE-GGA.

Properties
Theoretical density ... 4.33 g/cm3
DFT total energy ... -4.808 eV/atom
Density of states at the Fermi level ... 3.5 states/eV/cell

abc: 6.910 5.719 9.890
angles: 90.00 104.59 90.00
Positions (direct):
Cs 0.244 0.250 0.039
Cs 0.756 0.750 0.961
Dy 0.253 0.250 0.555
Dy 0.747 0.750 0.445
Ga 0.259 0.750 0.338
Ga 0.741 0.250 0.662
S 0.002 0.517 0.690
S 0.002 0.983 0.690
S 0.418 0.750 0.568
S 0.460 0.750 0.195
S 0.540 0.250 0.805
S 0.582 0.250 0.432
S 0.998 0.017 0.310
S 0.998 0.483 0.310

=====

No. 3
A relaxed RbErRu2O8 crystal. Source: the Alexandria database, functional PBE-GGA.

Properties
Theoretical density ... 3.96 g/cm3
DFT total energy ... -6.810 eV/atom
Density of states at the Fermi level ... 1.8 states/eV/cell

abc: 5.916 5.916 8.069
angles: 90.00 90.00 120.00
Positions (direct):
Rb 0.000 0.000 0.000
Er 0.000 0.000 0.500
Ru 0.333 0.667 0.746
Ru 0.667 0.333 0.254
O 0.134 0.337 0.672
O 0.203 0.866 0.672
O 0.333 0.667 0.963
O 0.337 0.203 0.328
O 0.663 0.797 0.672
O 0.667 0.333 0.037
O 0.797 0.134 0.328
O 0.866 0.663 0.328

=====

No. 4
A relaxed K3Ge2Bi2 crystal. Source: the Alexandria database, functional PBE-GGA.

Properties
Theoretical density ... 4.22 g/cm3
DFT total energy ... -3.098 eV/atom
Density of states at the Fermi level ... 6.5 states/eV/cell
Calculated formation energy ... -19.29 kJ/mol of atoms

abc: 4.626 5.565 20.787
angles: 90.00 90.00 90.00
Positions (direct):
K 0.000 0.000 0.000
K 0.000 0.500 0.321
K 0.000 0.500 0.679
K 0.500 0.000 0.179
K 0.500 0.000 0.821
K 0.500 0.500 0.500
Ge 0.000 0.000 0.441
Ge 0.000 0.000 0.559
Ge 0.500 0.500 0.059
Ge 0.500 0.500 0.941
Bi 0.000 0.500 0.138
Bi 0.000 0.500 0.862
Bi 0.500 0.000 0.362
Bi 0.500 0.000 0.638

=====

No. 5
A relaxed ZrTi2Ir crystal. Source: the Alexandria database, functional PBE-GGA.

Properties
Theoretical density ... 8.71 g/cm3
DFT total energy ... -8.673 eV/atom
Density of states at the Fermi level ... 19.1 states/eV/cell
Calculated formation energy ... -36.03 kJ/mol of atoms

abc: 3.052 20.214 4.685
angles: 90.00 90.00 90.00
Positions (direct):
Zr 0.000 0.114 0.250
Zr 0.000 0.886 0.750
Zr 0.500 0.386 0.750
Zr 0.500 0.614 0.250
Ti 0.000 0.249 0.750
Ti 0.000 0.474 0.250
Ti 0.000 0.526 0.750
Ti 0.000 0.751 0.250
Ti 0.500 0.026 0.750
Ti 0.500 0.251 0.250
Ti 0.500 0.749 0.750
Ti 0.500 0.974 0.250
Ir 0.000 0.351 0.250
Ir 0.000 0.649 0.750
Ir 0.500 0.149 0.750
Ir 0.500 0.851 0.250

=====

No. 6
A relaxed Fe2IrW crystal. Source: the Alexandria database, functional PBE-GGA.

Properties
Theoretical density ... 14.84 g/cm3
DFT total energy ... -9.634 eV/atom
Density of states at the Fermi level ... 10.2 states/eV/cell
Calculated formation energy ... 4.94 kJ/mol of atoms

abc: 8.793 2.700 4.673
angles: 90.00 100.26 90.00
Positions (direct):
Fe 0.245 0.000 0.247
Fe 0.255 0.500 0.753
Fe 0.745 0.500 0.247
Fe 0.755 0.000 0.753
Ir 0.000 0.500 0.000
Ir 0.500 0.000 0.000
W 0.000 0.000 0.500
W 0.500 0.500 0.500

=====

No. 7
A relaxed Sr4Eu2Rh crystal. Source: the Alexandria database, functional PBE-GGA.

Properties
Theoretical density ... 3.68 g/cm3
DFT total energy ... -4.898 eV/atom
Density of states at the Fermi level ... 12.3 states/eV/cell
Calculated formation energy ... 4.72 kJ/mol of atoms

abc: 5.857 5.857 19.915
angles: 90.00 90.00 90.00
Positions (direct):
Sr 0.000 0.000 0.147
Sr 0.000 0.000 0.853
Sr 0.000 0.500 0.000
Sr 0.000 0.500 0.500
Sr 0.500 0.000 0.000
Sr 0.500 0.000 0.500
Sr 0.500 0.500 0.353
Sr 0.500 0.500 0.647
Eu 0.000 0.000 0.346
Eu 0.000 0.000 0.654
Eu 0.500 0.500 0.154
Eu 0.500 0.500 0.846
Rh 0.000 0.000 0.000
Rh 0.500 0.500 0.500

=====

No. 8
A relaxed K2AlAsO crystal. Source: the Alexandria database, functional PBE-GGA.

Properties
Theoretical density ... 1.67 g/cm3
DFT total energy ... -3.017 eV/atom
Density of states at the Fermi level ... 16.4 states/eV/cell

abc: 6.378 6.378 4.806
angles: 90.00 90.00 90.00
Positions (direct):
K 0.000 0.500 0.000
K 0.500 0.000 0.000
Al 0.000 0.000 0.500
As 0.000 0.000 0.000
O 0.500 0.500 0.500

=====

No. 9
A relaxed BeAsPb3 crystal. Source: the Alexandria database, functional PBE-GGA.

Properties
Theoretical density ... 8.98 g/cm3
DFT total energy ... -3.506 eV/atom
Density of states at the Fermi level ... 2.6 states/eV/cell
Calculated formation energy ... 38.01 kJ/mol of atoms

abc: 5.072 5.072 5.072
angles: 90.00 90.00 90.00
Positions (direct):
Be 0.000 0.000 0.000
As 0.500 0.500 0.500
Pb 0.000 0.000 0.500
Pb 0.000 0.500 0.000
Pb 0.500 0.000 0.000

=====

No. 10
A relaxed ReRh crystal. Source: the Alexandria database, functional PBE-GGA.

Properties
Theoretical density ... 16.25 g/cm3
DFT total energy ... -9.670 eV/atom
Density of states at the Fermi level ... 16.0 states/eV/cell
Calculated formation energy ... 22.15 kJ/mol of atoms

abc: 6.182 6.182 6.182
angles: 90.00 90.00 90.00
Positions (direct):
Re 0.125 0.125 0.125
Re 0.125 0.625 0.625
Re 0.375 0.375 0.875
Re 0.375 0.875 0.375
Re 0.625 0.125 0.625
Re 0.625 0.625 0.125
Re 0.875 0.375 0.375
Re 0.875 0.875 0.875
Rh 0.125 0.125 0.625
Rh 0.125 0.625 0.125
Rh 0.375 0.375 0.375
Rh 0.375 0.875 0.875
Rh 0.625 0.125 0.125
Rh 0.625 0.625 0.625
Rh 0.875 0.375 0.875
Rh 0.875 0.875 0.375

=====

No. 11
A relaxed AlZnAu2 crystal. Source: the Alexandria database, functional PBE-GGA.

Properties
Theoretical density ... 12.07 g/cm3
DFT total energy ... -3.011 eV/atom
Density of states at the Fermi level ... 2.7 states/eV/cell
Calculated formation energy ... -11.42 kJ/mol of atoms

abc: 4.032 4.137 8.021
angles: 90.00 90.00 90.00
Positions (direct):
Al 0.000 0.000 0.000
Al 0.500 0.500 0.000
Zn 0.000 0.500 0.236
Zn 0.500 0.000 0.236
Au 0.000 0.000 0.476
Au 0.000 0.500 0.769
Au 0.500 0.000 0.769
Au 0.500 0.500 0.476

=====

No. 12
A relaxed CsBaCu2Cl8 crystal. Source: the Alexandria database, functional PBE-GGA.

Properties
Theoretical density ... 2.87 g/cm3
DFT total energy ... -3.271 eV/atom
Density of states at the Fermi level ... 15.0 states/eV/cell

abc: 6.663 6.663 10.253
angles: 90.00 90.00 120.00
Positions (direct):
Cs 0.000 0.000 0.000
Ba 0.000 0.000 0.500
Cu 0.333 0.667 0.761
Cu 0.667 0.333 0.239
Cl 0.002 0.354 0.698
Cl 0.333 0.667 0.976
Cl 0.352 0.998 0.698
Cl 0.354 0.352 0.302
Cl 0.646 0.648 0.698
Cl 0.648 0.002 0.302
Cl 0.667 0.333 0.024
Cl 0.998 0.646 0.302

=====

Please write out number 5 again, unchanged.
A relaxed ZrTi2Ir crystal. Source: the Alexandria database, functional PBE-GGA.

Properties
Theoretical density ... 8.71 g/cm3
DFT total energy ... -8.673 eV/atom
Density of states at the Fermi level ... 19.1 states/eV/cell
Calculated formation energy ... -36.03 kJ/mol of atoms

abc: 3.052 20.214 4.685
angles: 90.00 90.00 90.00
Positions (direct):
Zr 0.000 0.114 0.250
Zr 0.000 0.886 0.750
Zr 0.500 0.386 0.750
Zr 0.500 0.614 0.250
Ti 0.000 0.249 0.750
Ti 0.000 0.474 0.250
Ti 0.000 0.526 0.750
Ti 0.000 0.751 0.250
Ti 0.500 0.026 0.750
Ti 0.500 0.251 0.250
Ti 0.500 0.749 0.750
Ti 0.500 0.974 0.250
Ir 0.000 0.351 0.250
Ir 0.000 0.649 0.750
Ir 0.500 0.149 0.750
Ir 0.500 0.851 0.250